First-principles (PBE) data for a relaxed Li8ZnPd6 crystal, as listed in Alexandria.

Output
energy: -3.467 eV per atom
total moment: 0.0 μB per formula unit

a = 6.741 Å, b = 6.741 Å, c = 6.741 Å
α = 67.20°, β = 67.20°, γ = 67.20°
Fractional positions:
Li: 0.062 0.373 0.704
Li: 0.162 0.162 0.162
Li: 0.296 0.938 0.627
Li: 0.373 0.704 0.062
Li: 0.627 0.296 0.938
Li: 0.704 0.062 0.373
Li: 0.838 0.838 0.838
Li: 0.938 0.627 0.296
Zn: 0.500 0.500 0.500
Pd: 0.120 0.789 0.462
Pd: 0.211 0.538 0.880
Pd: 0.462 0.120 0.789
Pd: 0.538 0.880 0.211
Pd: 0.789 0.462 0.120
Pd: 0.880 0.211 0.538